Computed, not measured: a relaxed AlAgPb crystal at the PBE-GGA level of DFT.

Structure (extended XYZ):
```
6
Lattice="3.296 0.000 0.000 1.646 4.546 0.000 0.050 1.288 9.109" Properties=species:S:1:pos:R:3 pbc="T T T"
Al 0.846 1.604 3.896
Al 4.146 4.231 5.213
Ag 2.493 3.583 3.023
Ag 2.499 2.251 6.086
Pb 2.508 4.788 7.905
Pb 2.484 1.046 1.204
```

space group	P-1 (2)
size of the total moment	0.00	μB/cell
calculated total energy	-3.36	eV per atom


Computed, not measured: a relaxed InB2Ir crystal at the PBE-GGA level of DFT.

Structure (extended XYZ):
```
8
Lattice="-2.590 2.590 4.931 2.590 -2.590 4.931 2.590 2.590 -4.931" Properties=species:S:1:pos:R:3 pbc="T T T"
In 0.000 0.000 0.000
In 0.000 2.590 2.465
B 1.295 -0.912 3.698
B 1.677 1.295 1.233
B 1.295 3.502 -1.233
B 0.912 1.295 6.164
Ir 2.590 0.000 2.465
Ir 0.000 0.000 4.931
```

space group	I-42d (122)
size of the total moment	0.00	μB/cell
calculated total energy	-5.76	eV per atom


Number 1: ΔH_f (0 K) 0.0707 eV/atom. Number 2: ΔH_f (0 K) 0.4747 eV/atom.